This record from Alexandria via LeMat-Bulk describes CaCe2YN4 after structural relaxation. The functional is GGA-PBE.

```
8
Lattice="6.087 0.000 0.000 0.000 3.553 0.000 -2.058 0.000 5.803" Properties=species:S:1:pos:R:3 pbc="T T T"
Ca 0.000 0.000 0.000
Ce 2.015 0.000 2.901
Ce 3.044 1.776 0.000
Y -1.029 1.776 2.901
N 0.024 0.000 4.319
N 1.090 1.776 1.533
N 2.940 1.776 4.269
N 4.005 0.000 1.484
```

Results
Crystal system: monoclinic
Formation energy (no corrections) in meV/atom: -1438
DOS at the Fermi energy in states/eV/cell: 4.7
SG: P2/m, No. 10
Total DFT energy (no corrections) in eV per atom: -8.142